Entry 1:
CePrSb | Alexandria via LeMat-Bulk | GGA-PBE | relaxed; space-group type = I4mm (107); N(E_F) = 2.492 states/eV per atom; ΔE_f (raw) = -616 meV/atom
1.0
4.231 0.000 0.000
0.000 4.231 0.000
-2.116 -2.116 4.931
Ce Pr Sb
1 1 1
direct
0.262 0.262 0.525 Ce
0.970 0.970 0.940 Pr
0.618 0.618 0.235 Sb

---

Entry 2:
CePrSb | Alexandria via LeMat-Bulk | GGA-PBE | relaxed; space-group type = C2/m (12); N(E_F) = 1.930 states/eV per atom; ΔE_f (raw) = -282 meV/atom
1.0
3.390 0.000 0.000
1.695 9.721 0.542
1.695 -14.584 5.192
Pr Sb Ce
2 2 2
direct
0.890 0.908 0.312 Pr
0.110 0.092 0.688 Pr
0.853 0.528 0.766 Sb
0.147 0.472 0.234 Sb
0.751 0.780 0.717 Ce
0.249 0.220 0.283 Ce

---

Entry 3:
CePrSb | Alexandria via LeMat-Bulk | GGA-PBE | relaxed; space-group type = P3m1 (156); N(E_F) = 2.886 states/eV per atom; ΔE_f (raw) = -374 meV/atom
1.0
4.295 0.000 0.000
0.000 5.084 0.000
0.000 -2.542 4.403
Pr Sb Ce
1 1 1
direct
0.611 0.667 0.333 Pr
0.336 0.333 0.667 Sb
0.053 0.000 0.000 Ce

---

Entry 4:
CePr5Sb6 | Alexandria via LeMat-Bulk | GGA-PBE | relaxed; space-group type = C2/m (12); N(E_F) = 0.567 states/eV per atom; ΔE_f (raw) = -1172 meV/atom
1.0
7.877 0.214 0.000
2.423 7.493 0.000
1.211 3.746 6.823
Pr Sb Ce
5 6 1
direct
0.500 0.500 0.000 Pr
0.500 0.168 0.664 Pr
0.000 0.666 0.668 Pr
0.000 0.334 0.332 Pr
0.500 0.832 0.336 Pr
0.248 0.246 0.000 Sb
0.752 0.412 0.670 Sb
0.752 0.082 0.330 Sb
0.248 0.918 0.670 Sb
0.752 0.754 0.000 Sb
0.248 0.588 0.330 Sb
0.000 0.000 0.000 Ce

---

Entry 5:
Ce2Pr2Sb5 | Alexandria via LeMat-Bulk | GGA-PBE | relaxed; space-group type = Cmce (64); N(E_F) = 0.786 states/eV per atom; ΔE_f (raw) = -937 meV/atom
1.0
-1.464 1.710 -8.107
-6.586 -5.993 -0.074
-1.122 8.601 2.017
Pr Sb Ce
4 10 4
direct
0.157 0.654 0.654 Pr
0.657 0.846 0.846 Pr
0.343 0.154 0.154 Pr
0.843 0.346 0.346 Pr
0.152 0.489 0.202 Sb
0.000 0.000 0.000 Sb
0.348 0.702 0.989 Sb
0.152 0.202 0.489 Sb
0.848 0.798 0.511 Sb
0.652 0.011 0.298 Sb
0.848 0.511 0.798 Sb
0.652 0.298 0.011 Sb
0.500 0.500 0.500 Sb
0.348 0.989 0.702 Sb
0.500 0.693 0.307 Ce
0.000 0.807 0.193 Ce
0.000 0.193 0.807 Ce
0.500 0.307 0.693 Ce

---

Entry 6:
CePr2Sb2 | Alexandria via LeMat-Bulk | GGA-PBE | relaxed; space-group type = I4/mmm (139); N(E_F) = 2.589 states/eV per atom; ΔE_f (raw) = -680 meV/atom
1.0
4.499 0.000 0.000
0.000 4.499 0.000
-2.249 -2.249 9.269
Pr Sb Ce
2 2 1
direct
0.662 0.662 0.325 Pr
0.338 0.338 0.675 Pr
0.834 0.834 0.668 Sb
0.166 0.166 0.332 Sb
0.000 0.000 0.000 Ce